# 1
{
  "formula": "Pr2ScP3Rh4",
  "functional": "PBE-GGA",
  "state": "relaxed",
  "lattice_angstrom": [[-0.9617, 3.8335, 0.8078], [-3.1925, -0.2847, -2.4496], [-6.1155, -3.2943, 8.3529]],
  "species": ["Pr", "Pr", "Sc", "P", "P", "P", "Rh", "Rh", "Rh", "Rh"],
  "frac_coords": [[0.5000, 0.0000, 0.2310], [0.0000, 0.5000, 0.7690], [0.5000, 0.5000, 0.5000], [0.0000, 0.0000, 0.5000], [0.5000, 0.0000, 0.8704], [0.0000, 0.5000, 0.1296], [0.5000, 0.5000, 0.0000], [0.0000, 0.0000, 0.0000], [0.5000, 0.0000, 0.6510], [0.0000, 0.5000, 0.3490]],
  "dft_energy_ev_per_cell": -72.394,
  "formation_enthalpy_0k_ev_per_atom": -1.09,
  "spacegroup": "No. 115"
}

***

# 2
{
  "formula": "Na2SiF",
  "functional": "PBE-GGA",
  "state": "relaxed",
  "lattice_angstrom": [[2.7391, -1.1387, 3.9898], [-2.1099, -2.2334, 3.9087], [1.0555, -4.7507, 1.0171]],
  "species": ["Na", "Na", "Si", "F"],
  "frac_coords": [[0.2500, 0.2500, 0.2500], [0.7500, 0.7500, 0.7500], [0.5000, 0.5000, 0.5000], [0.0000, 0.0000, 0.0000]],
  "e_above_lowest_polymorph_kj_per_mol_atoms": 48.4,
  "dft_energy_ev_per_cell": -11.271,
  "spacegroup": "No. 225"
}